(1)
A relaxed structure of Lu4Mo2Au3C3. Source: OQMD via LeMat-Bulk, functional PBE.

Computed properties:
SG = No. 15

extended XYZ file:
```
24
Lattice="5.0533 -2.9448 0.0000 5.0533 2.9448 0.0000 -3.3360 0.0000 13.8571" Properties=species:S:1:pos:R:3 pbc="T T T"
Lu 0.8381 0.4035 1.4264
Lu 0.7942 0.5122 5.5066
Lu -0.8299 -0.4035 8.3550
Lu -0.8738 -0.5122 12.4351
Lu 7.6445 0.5122 1.4220
Lu 7.6005 0.4035 5.5021
Lu 5.9764 -0.5122 8.3505
Lu 5.9325 -0.4035 12.4306
Mo 4.1416 0.5555 0.8971
Mo 4.2970 0.5555 6.0314
Mo 2.4736 -0.5555 7.8256
Mo 2.6290 -0.5555 12.9600
Au 4.2193 2.0593 3.4643
Au 1.1284 0.3838 10.3985
Au 2.7964 -0.3838 3.4700
Au 3.9743 0.3838 10.3870
Au 5.6423 -0.3838 3.4585
Au 2.5513 -2.0593 10.3928
C 2.5267 1.4724 0.0000
C 2.6119 1.3554 6.9386
C 2.4908 1.3554 13.8470
C 0.8587 -1.4724 6.9285
C 4.2799 -1.3554 0.0101
C 4.1588 -1.3554 6.9185
```

---

(2)
A relaxed structure of Lu4Au2CN. Source: OQMD via LeMat-Bulk, functional PBE.

Computed properties:
SG = No. 164

extended XYZ file:
```
8
Lattice="3.4885 0.0000 0.0000 -1.7443 3.0211 0.0000 0.0000 0.0000 14.0680" Properties=species:S:1:pos:R:3 pbc="T T T"
Lu 0.0000 2.0141 1.3234
Lu 0.0000 2.0141 5.7203
Lu 1.7443 1.0070 8.3477
Lu 1.7443 1.0070 12.7447
Au 0.0000 2.0141 10.4904
Au 1.7443 1.0070 3.5776
C 0.0000 0.0000 0.0000
N 0.0000 0.0000 7.0340
```

---

(3)
A relaxed structure of Lu8Au2C3N3. Source: OQMD via LeMat-Bulk, functional PBE.

Computed properties:
SG = No. 164

extended XYZ file:
```
16
Lattice="3.4482 0.0000 0.0000 -1.7241 2.9863 0.0000 0.0000 0.0000 25.2407" Properties=species:S:1:pos:R:3 pbc="T T T"
Lu 0.0000 0.0000 3.9782
Lu 0.0000 0.0000 8.4817
Lu 0.0000 0.0000 16.7590
Lu 0.0000 0.0000 21.2625
Lu 0.0000 1.9908 14.0310
Lu 0.0000 1.9908 23.9230
Lu 1.7241 0.9954 1.3177
Lu 1.7241 0.9954 11.2097
Au 0.0000 1.9908 19.0952
Au 1.7241 0.9954 6.1455
C 0.0000 0.0000 12.6203
C 0.0000 1.9908 9.6351
C 1.7241 0.9954 15.6056
N 0.0000 0.0000 0.0000
N 0.0000 1.9908 2.7765
N 1.7241 0.9954 22.4642
```

---

(4)
A relaxed structure of Lu4PAuC2. Source: OQMD via LeMat-Bulk, functional PBE.

Computed properties:
SG = No. 187

extended XYZ file:
```
8
Lattice="3.6218 0.0000 0.0000 -1.8109 3.1366 0.0000 0.0000 0.0000 13.2008" Properties=species:S:1:pos:R:3 pbc="T T T"
Lu 0.0000 0.0000 1.8043
Lu 0.0000 0.0000 11.3965
Lu 0.0000 2.0910 4.4022
Lu 0.0000 2.0910 8.7986
P 0.0000 2.0910 0.0000
Au 0.0000 0.0000 6.6004
C 1.8109 1.0455 3.2489
C 1.8109 1.0455 9.9519
```

---

(5)
A relaxed structure of Lu4PAuC2. Source: OQMD via LeMat-Bulk, functional PBE.

Computed properties:
SG = No. 187

extended XYZ file:
```
8
Lattice="3.6217 0.0000 0.0000 -1.8109 3.1365 0.0000 0.0000 0.0000 13.2011" Properties=species:S:1:pos:R:3 pbc="T T T"
Lu 0.0000 0.0000 1.8042
Lu 0.0000 0.0000 11.3969
Lu 1.8109 1.0455 4.4021
Lu 1.8109 1.0455 8.7990
P 1.8109 1.0455 0.0000
Au 0.0000 0.0000 6.6006
C 0.0000 2.0910 3.2487
C 0.0000 2.0910 9.9524
```

---

(6)
A relaxed structure of Lu4SnAuC2. Source: OQMD via LeMat-Bulk, functional PBE.

Computed properties:
SG = No. 187

extended XYZ file:
```
8
Lattice="3.5592 0.0000 0.0000 -1.7796 3.0823 0.0000 0.0000 0.0000 14.5668" Properties=species:S:1:pos:R:3 pbc="T T T"
Lu 0.0000 0.0000 2.1706
Lu 0.0000 0.0000 12.3962
Lu 0.0000 2.0549 4.7435
Lu 0.0000 2.0549 9.8233
Sn 0.0000 0.0000 7.2834
Au 0.0000 2.0549 0.0000
C 1.7796 1.0274 3.4477
C 1.7796 1.0274 11.1191
```

---

One value per record, in order, for total energy: -6.91 -6.14 -6.92 -6.37 -6.37 -6.08 eV/atom.